# HfIr4 | Alexandria via LeMat-Bulk | PBE | optimized geometry
data_HfIr4
_cell_length_a 4.731
_cell_length_b 4.731
_cell_length_c 4.731
_cell_angle_alpha 90.00
_cell_angle_beta 90.00
_cell_angle_gamma 90.00
_symmetry_space_group_name_H-M 'P m -3 m'
_symmetry_Int_Tables_number 221
_symmetry_space_group_name_Hall '-P 4 2 3'
loop_
_atom_site_label
_atom_site_fract_x
_atom_site_fract_y
_atom_site_fract_z
Hf1 0.000 0.000 0.000
Ir1 0.000 0.000 0.500
Ir2 0.500 0.500 0.500
# ΔH_f (0 K): 1.9769 eV/atom
# density of states at the Fermi level: 1.6767 states/eV/atom


# CuNi12Pt3 | Alexandria via LeMat-Bulk | PBE | optimized geometry
data_CuNi12Pt3
_cell_length_a 3.633
_cell_length_b 3.633
_cell_length_c 14.484
_cell_angle_alpha 90.00
_cell_angle_beta 90.00
_cell_angle_gamma 90.00
_symmetry_space_group_name_H-M 'P 4/m m m'
_symmetry_Int_Tables_number 123
_symmetry_space_group_name_Hall '-P 4 2'
loop_
_atom_site_label
_atom_site_fract_x
_atom_site_fract_y
_atom_site_fract_z
Cu1 0.000 0.000 0.000
Ni1 0.000 0.500 0.119
Ni2 0.000 0.500 0.372
Ni3 0.500 0.500 0.000
Ni4 0.500 0.500 0.246
Ni5 0.500 0.500 0.500
Pt1 0.000 0.000 0.245
Pt2 0.000 0.000 0.500
# ΔH_f (0 K): -0.0436 eV/atom
# density of states at the Fermi level: 1.5851 states/eV/atom


# GaCuAg3 | Alexandria via LeMat-Bulk | PBE | optimized geometry
data_GaCuAg3
_cell_length_a 4.847
_cell_length_b 4.847
_cell_length_c 4.847
_cell_angle_alpha 90.00
_cell_angle_beta 90.00
_cell_angle_gamma 90.00
_symmetry_space_group_name_H-M 'P m -3 m'
_symmetry_Int_Tables_number 221
_symmetry_space_group_name_Hall '-P 4 2 3'
loop_
_atom_site_label
_atom_site_fract_x
_atom_site_fract_y
_atom_site_fract_z
Ga1 0.000 0.000 0.000
Cu1 0.500 0.500 0.500
Ag1 0.000 0.500 0.500
# ΔH_f (0 K): 0.5645 eV/atom
# density of states at the Fermi level: 0.2995 states/eV/atom


# K3ThNp2S6 | Alexandria via LeMat-Bulk | PBE | optimized geometry
data_K3ThNp2S6
_cell_length_a 7.130
_cell_length_b 12.349
_cell_length_c 7.776
_cell_angle_alpha 90.00
_cell_angle_beta 107.80
_cell_angle_gamma 90.00
_symmetry_space_group_name_H-M 'C 1 2/m 1'
_symmetry_Int_Tables_number 12
_symmetry_space_group_name_Hall '-C 2y'
loop_
_atom_site_label
_atom_site_fract_x
_atom_site_fract_y
_atom_site_fract_z
K1 0.000 0.000 0.000
K2 0.000 0.333 0.000
Th1 0.000 0.500 0.500
Np1 0.000 0.167 0.500
S1 0.234 0.000 0.705
S2 0.236 0.333 0.705
# uncorrected formation energy: -1.504 eV per atom
# density of states at the Fermi level: 1.8884 states/eV/atom


# TaPt2Se | Alexandria via LeMat-Bulk | PBE | optimized geometry
data_TaPt2Se
_cell_length_a 2.9296
_cell_length_b 2.9296
_cell_length_c 27.4769
_cell_angle_alpha 90.00
_cell_angle_beta 90.00
_cell_angle_gamma 120.00
_symmetry_space_group_name_H-M 'R 3 m'
_symmetry_Int_Tables_number 160
_symmetry_space_group_name_Hall 'R 3 -2"'
loop_
_atom_site_label
_atom_site_fract_x
_atom_site_fract_y
_atom_site_fract_z
Ta1 0.0000 0.0000 0.0000
Pt1 0.0000 0.0000 0.2537
Pt2 0.0000 0.0000 0.5015
Se1 0.0000 0.0000 0.7436
# uncorrected formation energy: -0.090 eV per atom
# density of states at the Fermi level: 1.0027 states/eV/atom


# LiIn2Ni | Alexandria via LeMat-Bulk | PBE | optimized geometry
data_LiIn2Ni
_cell_length_a 4.3899
_cell_length_b 4.3899
_cell_length_c 14.3436
_cell_angle_alpha 90.00
_cell_angle_beta 90.00
_cell_angle_gamma 120.00
_symmetry_space_group_name_H-M 'R 3 m'
_symmetry_Int_Tables_number 160
_symmetry_space_group_name_Hall 'R 3 -2"'
loop_
_atom_site_label
_atom_site_fract_x
_atom_site_fract_y
_atom_site_fract_z
Li1 0.0000 0.0000 0.0000
In1 0.0000 0.0000 0.5674
In2 0.0000 0.0000 0.7821
Ni1 0.0000 0.0000 0.1856
# ΔH_f (0 K): -0.1135 eV/atom
# density of states at the Fermi level: 0.1938 states/eV/atom


# Ba4BiAuI2 | Alexandria via LeMat-Bulk | PBE | optimized geometry
data_Ba4BiAuI2
_cell_length_a 8.606
_cell_length_b 4.956
_cell_length_c 9.045
_cell_angle_alpha 90.00
_cell_angle_beta 108.11
_cell_angle_gamma 90.00
_symmetry_space_group_name_H-M 'P 1 2/m 1'
_symmetry_Int_Tables_number 10
_symmetry_space_group_name_Hall '-P 2y'
loop_
_atom_site_label
_atom_site_fract_x
_atom_site_fract_y
_atom_site_fract_z
Ba1 0.227 0.000 0.216
Ba2 0.252 0.500 0.778
Bi1 0.500 0.000 0.000
Au1 0.000 0.500 0.000
I1 0.000 0.000 0.500
I2 0.500 0.500 0.500
# uncorrected formation energy: -1.139 eV per atom
# density of states at the Fermi level: 0.6554 states/eV/atom


# Rb2MnAgBr6 | Alexandria via LeMat-Bulk | PBE | optimized geometry
data_Rb2MnAgBr6
_cell_length_a 10.788
_cell_length_b 10.788
_cell_length_c 10.788
_cell_angle_alpha 90.00
_cell_angle_beta 90.00
_cell_angle_gamma 90.00
_symmetry_space_group_name_H-M 'F m -3 m'
_symmetry_Int_Tables_number 225
_symmetry_space_group_name_Hall '-F 4 2 3'
loop_
_atom_site_label
_atom_site_fract_x
_atom_site_fract_y
_atom_site_fract_z
Rb1 0.250 0.250 0.250
Mn1 0.000 0.000 0.000
Ag1 0.000 0.000 0.500
Br1 0.000 0.000 0.240
# uncorrected formation energy: -1.053 eV per atom
# density of states at the Fermi level: 0.1492 states/eV/atom


> What is the density of states at the Fermi level in the second record?

1.5851 states/eV/atom